[1]
ZnCo2Si, relaxed, DFT PBE-GGA; formation energy without anion corrections = -0.03 eV per atom; volume = 48 Å³/f.u.; spin magnetization = 0.5437 μB/atom
1.0
3.052 0.000 0.000
0.000 3.052 0.000
0.000 0.000 5.154
Zn Si Co
1 1 2
Cartesian
1.526 1.526 3.951
0.000 0.000 2.435
1.526 1.526 1.383
0.000 0.000 5.115

=====

[2]
KPb2Au, relaxed, DFT PBE-GGA; volume = 115 Å³/f.u.; spin magnetization = 0.0000 μB/atom; E_form = -0.019 eV per atom
1.0
5.609 0.200 0.000
0.587 5.581 0.000
-3.098 -2.891 3.680
Pb Au K
2 1 1
Cartesian
0.000 0.000 0.000
0.293 2.791 1.840
3.098 2.891 0.000
2.804 0.100 1.840

=====

[3]
Ho2CdSi2Pd5, relaxed, DFT PBE-GGA; formation energy without anion corrections = -0.72 eV per atom; volume = 180 Å³/f.u.; spin magnetization = 0.0000 μB/atom
1.0
3.599 0.000 0.000
0.000 10.005 0.000
0.000 0.000 10.005
Pd Cd Ho Si
10 2 4 4
Cartesian
1.800 5.621 7.185
1.800 0.618 7.822
1.800 2.820 5.621
1.800 9.387 2.183
1.800 0.000 5.002
1.800 2.183 0.618
1.800 4.384 2.820
1.800 7.185 4.384
1.800 5.002 0.000
1.800 7.822 9.387
0.000 5.002 5.002
0.000 0.000 0.000
0.000 8.255 6.752
0.000 1.749 3.253
0.000 6.752 1.749
0.000 3.253 8.255
0.000 8.760 3.757
0.000 1.245 6.247
0.000 6.247 8.760
0.000 3.757 1.245

=====

[4]
RbTa3Ag, relaxed, DFT PBE-GGA; energy relative to the lowest polymorph listed for this composition = 0 meV per atom; volume = 135 Å³/f.u.; spin magnetization = 0.5853 μB/atom; E_form = 2.320 eV per atom
1.0
5.131 0.000 0.000
0.000 5.131 0.000
0.000 0.000 5.131
Ta Ag Rb
3 1 1
Cartesian
0.000 0.000 2.565
2.565 0.000 0.000
0.000 2.565 0.000
0.000 0.000 0.000
2.565 2.565 2.565